[1]
! Er2Re3Tc (PBE, relaxed); values from VASP
&SYSTEM
  ibrav = 0, nat = 6, ntyp = 3
/
ATOMIC_SPECIES
Er 167.26 Er.upf
Re 186.21 Re.upf
Tc 98.00 Tc.upf
CELL_PARAMETERS angstrom
-1.943 -4.952 0.529
3.498 1.889 3.573
-3.259 4.256 0.924
ATOMIC_POSITIONS angstrom
Er -0.552 -2.473 1.852
Er -1.151 3.666 3.174
Re -0.852 0.597 2.513
Re -1.630 2.128 0.462
Re -2.601 -0.348 0.727
Tc 0.000 0.000 0.000
! electronic total energy = -9.697 eV/atom

---

[2]
! Pr3SbSe2 (PBE, relaxed); values from VASP
&SYSTEM
  ibrav = 0, nat = 6, ntyp = 3
/
ATOMIC_SPECIES
Pr 140.91 Pr.upf
Sb 121.76 Sb.upf
Se 78.96 Se.upf
CELL_PARAMETERS angstrom
4.369 0.000 0.000
0.000 6.192 0.000
-2.184 -3.096 6.549
ATOMIC_POSITIONS angstrom
Pr 3.276 1.548 1.007
Pr -1.092 1.548 5.542
Pr 1.092 -1.548 3.274
Sb 1.092 1.548 3.274
Se 3.276 4.644 1.121
Se -1.092 -1.548 5.428
! uncorrected formation energy = -1.631 eV/atom